A plane-wave DFT calculation with PBE was carried out for a relaxed structure of LiCo3S5.

Calculated values
The calculation puts the total magnetization at 3.3 μB/cell. The space group is No. 191. For the energy, the calculation gives -46.29 eV for the cell shown.

a b c (Å): 5.387 5.387 6.323
angles (deg): 90.00 90.00 120.00
Last column: magnetic moment on the atom in μB.
Fractional positions:
S 0.333 0.667 0.254  0.10
S 0.000 0.000 0.500  0.03
S 0.667 0.333 0.746  0.10
S 0.667 0.333 0.254  0.10
S 0.333 0.667 0.746  0.10
Co 0.500 0.000 0.500  0.94
Co 0.000 0.500 0.500  0.77
Co 0.500 0.500 0.500  0.96
Li 0.000 0.000 0.000  0.00